Here is an optimized crystal structure of Sm2MnSi3Pt12 from Alexandria. Energies are from GGA-PBE.

Geometry as POSCAR:
```
Sm2MnSi3Pt12
1.0
-5.298 1.512 -5.317
0.898 -3.751 -6.614
-5.041 -5.630 -1.232
Pt Mn Si Sm
12 1 3 2
direct
0.624 0.131 0.131
0.869 0.376 0.869
0.645 0.103 0.645
0.355 0.355 0.897
0.897 0.355 0.355
0.869 0.869 0.376
0.355 0.897 0.355
0.376 0.869 0.869
0.645 0.645 0.103
0.131 0.624 0.131
0.131 0.131 0.624
0.103 0.645 0.645
0.000 0.000 0.000
0.500 0.000 0.000
0.000 0.500 0.000
0.000 0.000 0.500
0.610 0.610 0.610
0.390 0.390 0.390
```

Output
Energy ... -6.44 eV per atom
Fermi-level density of states ... 8.318 states/eV per cell



Here is an optimized crystal structure of Sm2MnSi4Pt3 from Alexandria. Energies are from GGA-PBE.

Geometry as POSCAR:
```
Sm2MnSi4Pt3
1.0
-2.762 -3.050 -0.712
1.274 -0.226 -3.971
6.909 -6.864 2.607
Si Pt Sm Mn
4 3 2 1
direct
0.500 0.000 0.634
0.500 0.500 0.000
0.000 0.000 0.000
0.000 0.500 0.366
0.500 0.000 0.877
0.000 0.000 0.500
0.000 0.500 0.123
0.000 0.500 0.752
0.500 0.000 0.248
0.500 0.500 0.500
```

Output
Energy ... -6.83 eV per atom
Fermi-level density of states ... 5.217 states/eV per cell



Here is an optimized crystal structure of SmMn2Si2Pt7 from Alexandria. Energies are from GGA-PBE.

Geometry as POSCAR:
```
SmMn2Si2Pt7
1.0
4.060 0.020 0.325
0.025 4.060 0.325
3.174 3.170 12.543
Pt Mn Si Sm
7 2 2 1
direct
0.500 0.500 0.000
0.310 0.810 0.188
0.225 0.225 0.502
0.190 0.690 0.812
0.775 0.775 0.498
0.690 0.190 0.812
0.810 0.310 0.188
0.339 0.339 0.664
0.661 0.661 0.336
0.814 0.814 0.688
0.186 0.186 0.312
0.000 0.000 0.000
```

Output
Energy ... -6.90 eV per atom
Fermi-level density of states ... 3.715 states/eV per cell



Here is an optimized crystal structure of SmMnSi2Pt5 from Alexandria. Energies are from GGA-PBE.

Geometry as POSCAR:
```
SmMnSi2Pt5
1.0
-0.929 -0.236 3.960
-1.015 -3.917 -0.472
9.849 -2.811 2.142
Pt Si Sm Mn
5 2 1 1
direct
0.000 0.500 0.839
0.500 0.000 0.161
0.000 0.500 0.161
0.500 0.000 0.839
0.500 0.500 0.500
0.500 0.500 0.276
0.500 0.500 0.724
0.000 0.000 0.500
0.000 0.000 0.000
```

Output
Energy ... -6.76 eV per atom
Fermi-level density of states ... 3.914 states/eV per cell



Here is an optimized crystal structure of SrMnSi2Pt5 from Alexandria. Energies are from GGA-PBE.

Geometry as POSCAR:
```
SrMnSi2Pt5
1.0
4.122 0.000 0.000
0.000 4.122 0.000
0.000 0.000 10.368
Si Pt Mn Sr
2 5 1 1
direct
0.500 0.500 0.727
0.500 0.500 0.273
0.000 0.500 0.157
0.500 0.500 0.500
0.000 0.500 0.843
0.500 0.000 0.157
0.500 0.000 0.843
0.000 0.000 0.000
0.000 0.000 0.500
```

Output
Energy ... -6.41 eV per atom
Fermi-level density of states ... 2.354 states/eV per cell



Here is an optimized crystal structure of Sr2MnSi3Pt12 from Alexandria. Energies are from GGA-PBE.

Geometry as POSCAR:
```
Sr2MnSi3Pt12
1.0
-6.194 0.181 4.730
-6.846 -1.879 -3.222
-2.980 -6.911 2.034
Pt Sr Mn Si
12 2 1 3
direct
0.876 0.876 0.371
0.124 0.124 0.629
0.649 0.098 0.649
0.629 0.124 0.124
0.649 0.649 0.098
0.351 0.351 0.902
0.351 0.902 0.351
0.902 0.351 0.351
0.098 0.649 0.649
0.371 0.876 0.876
0.124 0.629 0.124
0.876 0.371 0.876
0.612 0.612 0.612
0.388 0.388 0.388
0.000 0.000 0.000
0.500 0.000 0.000
0.000 0.500 0.000
0.000 0.000 0.500
```

Output
Energy ... -6.01 eV per atom
Fermi-level density of states ... 5.869 states/eV per cell



Here is an optimized crystal structure of TbMn2Si2Pt7 from Alexandria. Energies are from GGA-PBE.

Geometry as POSCAR:
```
TbMn2Si2Pt7
1.0
-0.912 -2.361 3.160
0.017 -3.280 -2.373
10.805 -6.948 2.969
Si Pt Mn Tb
2 7 2 1
direct
0.800 0.800 0.691
0.200 0.200 0.309
0.321 0.821 0.185
0.679 0.179 0.815
0.179 0.679 0.815
0.821 0.321 0.185
0.763 0.763 0.508
0.500 0.500 0.000
0.237 0.237 0.492
0.322 0.322 0.665
0.678 0.678 0.335
0.000 0.000 0.000
```

Output
Energy ... -6.93 eV per atom
Fermi-level density of states ... 4.096 states/eV per cell



Here is an optimized crystal structure of Tb2MnSi4Pt3 from Alexandria. Energies are from GGA-PBE.

Geometry as POSCAR:
```
Tb2MnSi4Pt3
1.0
4.123 0.000 0.000
0.000 4.123 0.000
0.000 0.000 10.128
Tb Si Pt Mn
2 4 3 1
direct
0.000 0.500 0.750
0.500 0.000 0.250
0.500 0.500 0.000
0.500 0.000 0.635
0.000 0.500 0.365
0.000 0.000 0.000
0.000 0.000 0.500
0.500 0.000 0.874
0.000 0.500 0.126
0.500 0.500 0.500
```

Output
Energy ... -6.81 eV per atom
Fermi-level density of states ... 5.364 states/eV per cell



Here is an optimized crystal structure of Th2MnSi3Pt4 from Alexandria. Energies are from GGA-PBE.

Geometry as POSCAR:
```
Th2MnSi3Pt4
1.0
-3.393 1.998 1.610
-2.504 -3.160 -1.357
1.328 -4.829 8.793
Pt Si Th Mn
4 3 2 1
direct
0.500 0.500 0.000
0.000 0.500 0.366
0.500 0.000 0.634
0.000 0.000 0.000
0.500 0.000 0.870
0.000 0.000 0.500
0.000 0.500 0.130
0.000 0.500 0.750
0.500 0.000 0.250
0.500 0.500 0.500
```

Output
Energy ... -7.45 eV per atom
Fermi-level density of states ... 8.449 states/eV per cell



Here is an optimized crystal structure of Th2MnSi3Pt12 from Alexandria. Energies are from GGA-PBE.

Geometry as POSCAR:
```
Th2MnSi3Pt12
1.0
7.664 -0.310 -0.220
3.516 6.817 -0.220
3.516 2.046 6.506
Pt Si Th Mn
12 3 2 1
direct
0.357 0.357 0.895
0.643 0.643 0.105
0.643 0.105 0.643
0.867 0.867 0.377
0.133 0.133 0.623
0.895 0.357 0.357
0.867 0.377 0.867
0.377 0.867 0.867
0.105 0.643 0.643
0.623 0.133 0.133
0.133 0.623 0.133
0.357 0.895 0.357
0.000 0.500 0.000
0.000 0.000 0.500
0.500 0.000 0.000
0.387 0.387 0.387
0.613 0.613 0.613
0.000 0.000 0.000
```

Output
Energy ... -6.81 eV per atom
Fermi-level density of states ... 7.499 states/eV per cell



Here is an optimized crystal structure of Tm2MnSi3Pt4 from Alexandria. Energies are from GGA-PBE.

Geometry as POSCAR:
```
Tm2MnSi3Pt4
1.0
4.078 0.000 0.000
0.000 4.078 0.000
0.000 0.000 10.432
Tm Pt Mn Si
2 4 1 3
direct
0.500 0.000 0.249
0.000 0.500 0.751
0.500 0.500 0.000
0.500 0.000 0.642
0.000 0.500 0.358
0.000 0.000 0.000
0.500 0.500 0.500
0.500 0.000 0.865
0.000 0.500 0.135
0.000 0.000 0.500
```

Output
Energy ... -6.82 eV per atom
Fermi-level density of states ... 7.638 states/eV per cell



Here is an optimized crystal structure of U2MnSi3Pt4 from Alexandria. Energies are from GGA-PBE.

Geometry as POSCAR:
```
U2MnSi3Pt4
1.0
-3.974 -0.239 -0.958
-0.873 -1.006 3.872
-1.172 10.059 2.349
U Si Pt Mn
2 3 4 1
direct
0.000 0.500 0.748
0.500 0.000 0.252
0.000 0.000 0.500
0.000 0.500 0.134
0.500 0.000 0.866
0.500 0.000 0.639
0.000 0.000 0.000
0.500 0.500 0.000
0.000 0.500 0.361
0.500 0.500 0.500
```

Output
Energy ... -7.87 eV per atom
Fermi-level density of states ... 19.971 states/eV per cell



Here is an optimized crystal structure of U2MnSi4Pt3 from Alexandria. Energies are from GGA-PBE.

Geometry as POSCAR:
```
U2MnSi4Pt3
1.0
4.133 0.000 0.000
0.000 4.133 0.000
0.000 0.000 9.846
Si Pt U Mn
4 3 2 1
direct
0.500 0.500 0.000
0.500 0.000 0.630
0.000 0.500 0.370
0.000 0.000 0.000
0.000 0.000 0.500
0.000 0.500 0.126
0.500 0.000 0.874
0.500 0.000 0.260
0.000 0.500 0.740
0.500 0.500 0.500
```

Output
Energy ... -7.85 eV per atom
Fermi-level density of states ... 15.316 states/eV per cell



Here is an optimized crystal structure of UMnSi2Pt from Alexandria. Energies are from GGA-PBE.

Geometry as POSCAR:
```
UMnSi2Pt
1.0
-1.124 -2.441 -2.991
2.519 -2.824 1.359
-4.307 0.790 3.676
Si Mn Pt U
2 1 1 1
direct
0.381 0.381 0.762
0.619 0.619 0.238
0.750 0.250 0.500
0.250 0.750 0.500
0.000 0.000 0.000
```

Output
Energy ... -8.06 eV per atom
Fermi-level density of states ... 6.735 states/eV per cell



Here is an optimized crystal structure of YMn2Si2Pt7 from Alexandria. Energies are from GGA-PBE.

Geometry as POSCAR:
```
YMn2Si2Pt7
1.0
4.035 0.014 0.287
0.019 4.035 0.287
3.031 3.027 12.465
Y Pt Mn Si
1 7 2 2
direct
0.000 0.000 0.000
0.821 0.322 0.185
0.322 0.821 0.185
0.237 0.237 0.492
0.678 0.179 0.815
0.763 0.763 0.508
0.500 0.500 0.000
0.179 0.678 0.815
0.322 0.322 0.665
0.678 0.678 0.335
0.799 0.799 0.691
0.201 0.201 0.309
```

Output
Energy ... -7.08 eV per atom
Fermi-level density of states ... 4.120 states/eV per cell



Here is an optimized crystal structure of Y2MnSi3Pt4 from Alexandria. Energies are from GGA-PBE.

Geometry as POSCAR:
```
Y2MnSi3Pt4
1.0
-2.186 3.537 -0.133
-1.121 -0.544 3.969
8.231 5.200 3.036
Pt Mn Si Y
4 1 3 2
direct
0.000 0.500 0.362
0.500 0.000 0.638
0.500 0.500 0.000
0.000 0.000 0.000
0.500 0.500 0.500
0.500 0.000 0.867
0.000 0.000 0.500
0.000 0.500 0.133
0.000 0.500 0.748
0.500 0.000 0.252
```

Output
Energy ... -7.24 eV per atom
Fermi-level density of states ... 7.524 states/eV per cell



Here is an optimized crystal structure of Zr2MnSi4Pt3 from Alexandria. Energies are from GGA-PBE.

Geometry as POSCAR:
```
Zr2MnSi4Pt3
1.0
3.843 0.000 0.000
0.000 3.843 0.000
0.000 0.000 10.803
Si Pt Zr Mn
4 3 2 1
direct
0.500 0.000 0.639
0.000 0.500 0.361
0.500 0.500 0.000
0.000 0.000 0.000
0.500 0.000 0.860
0.000 0.000 0.500
0.000 0.500 0.140
0.500 0.000 0.280
0.000 0.500 0.720
0.500 0.500 0.500
```

Output
Energy ... -7.46 eV per atom
Fermi-level density of states ... 4.997 states/eV per cell



Here is an optimized crystal structure of Sm2MnPt9 from Alexandria. Energies are from GGA-PBE.

Geometry as POSCAR:
```
Sm2MnPt9
1.0
4.108 0.000 0.000
0.000 4.108 0.000
0.000 0.000 12.215
Sm Pt Mn
2 9 1
direct
0.000 0.000 0.327
0.000 0.000 0.673
0.500 0.000 0.151
0.000 0.500 0.500
0.500 0.500 0.674
0.000 0.500 0.849
0.500 0.500 0.326
0.000 0.500 0.151
0.500 0.000 0.500
0.500 0.500 0.000
0.500 0.000 0.849
0.000 0.000 0.000
```

Output
Fermi-level density of states ... 12.593 states/eV per cell
ΔH_f (0 K) ... -0.7091 eV per atom



Here is an optimized crystal structure of SmMnZnPt3 from Alexandria. Energies are from GGA-PBE.

Geometry as POSCAR:
```
SmMnZnPt3
1.0
-1.219 4.429 3.154
-2.356 -3.371 3.823
8.451 0.954 1.927
Zn Pt Sm Mn
2 6 2 2
direct
0.750 0.601 0.202
0.250 0.399 0.798
0.500 0.745 0.000
0.500 0.255 0.000
0.250 0.248 0.495
0.000 0.745 0.000
0.750 0.752 0.505
0.000 0.255 0.000
0.250 0.699 0.399
0.750 0.301 0.601
0.750 0.905 0.809
0.250 0.095 0.191
```

Output
Fermi-level density of states ... 7.138 states/eV per cell
ΔH_f (0 K) ... -0.3556 eV per atom



Here is an optimized crystal structure of Mn2SnPt8 from Alexandria. Energies are from GGA-PBE.

Geometry as POSCAR:
```
Mn2SnPt8
1.0
0.700 -2.373 -3.158
3.415 -3.857 3.655
-7.027 -1.266 1.942
Pt Sn Mn
8 1 2
direct
0.953 0.275 0.907
0.146 0.205 0.293
0.597 0.461 0.194
0.682 0.918 0.363
0.047 0.725 0.093
0.403 0.539 0.806
0.318 0.082 0.637
0.854 0.795 0.707
0.500 0.000 0.000
0.775 0.352 0.550
0.225 0.648 0.450
```

Output
Fermi-level density of states ... 9.268 states/eV per cell
ΔH_f (0 K) ... -0.3064 eV per atom